AlAg5 | the Alexandria database | GGA-PBEsol | relaxed; excess energy over the best structure of this formula in the dataset = 9.7 meV/atom; E = -3.50 eV per atom; total moment = 0.00 μB per cell; formation enthalpy at 0 K = -0.061 eV/atom; symmetry = No. 65
1.0
-1.8041 -3.4848 -0.8845
1.7299 0.0340 -3.6622
5.6108 -1.2529 2.6386
Al Ag
1 5
Cartesian
-0.0371 -1.7254 -2.2734
3.1522 -2.0051 1.4703
2.3959 -0.9569 -1.1170
0.0000 0.0000 0.0000
3.1406 -3.7467 -0.7911
0.6545 -2.7325 0.2838

SrHfSc2Ir | the Alexandria database | GGA-PBEsol | relaxed; E = -6.69 eV per atom; total moment = 1.20 μB per cell; formation enthalpy at 0 K = 0.389 eV/atom; symmetry = No. 123
1.0
4.9917 0.0000 0.0000
0.0000 4.9917 0.0000
0.0000 0.0000 5.5422
Sc Sr Ir Hf
2 1 1 1
Cartesian
0.0000 2.4958 0.0000
2.4958 0.0000 0.0000
0.0000 0.0000 2.7711
0.0000 0.0000 0.0000
2.4958 2.4958 2.7711

BaNi2I2 | the Alexandria database | GGA-PBEsol | relaxed; E = -3.77 eV per atom; total moment = 1.35 μB per cell; ΔE_f (raw) = -0.1749 eV/atom; symmetry = No. 139
1.0
-3.0375 3.4041 -2.0516
-2.3081 0.5914 4.3985
5.7582 1.4516 -0.0182
I Ni Ba
2 2 1
Cartesian
0.3887 2.0204 2.7769
0.0240 3.4267 -0.4481
2.2995 2.5708 0.8610
-1.8869 2.8764 1.4677
0.0000 0.0000 0.0000

LaSbSe | the Alexandria database | GGA-PBEsol | relaxed; E = -6.13 eV per atom; total moment = 0.00 μB per cell; ΔE_f (raw) = -1.5434 eV/atom; symmetry = No. 14
1.0
4.2177 -0.0025 0.0000
0.0015 4.2236 0.0000
0.0000 0.0000 18.2265
La Sb Se
4 4 4
Cartesian
1.0461 1.0324 15.5105
1.0634 1.0781 6.3972
3.1730 3.1887 2.7160
3.1557 3.1430 11.8293
3.1801 1.0211 9.1179
3.1472 1.0870 0.0047
1.0391 3.2000 9.1086
1.0720 3.1341 18.2218
1.0481 1.0357 12.4693
1.0615 1.0748 3.3561
3.1711 3.1854 5.7572
3.1576 3.1462 14.8704

BaRePb | the Alexandria database | GGA-PBEsol | relaxed; excess energy over the best structure of this formula in the dataset = 929.7 meV/atom; E = -4.54 eV per atom; total moment = 3.04 μB per cell; formation enthalpy at 0 K = 1.950 eV/atom; symmetry = No. 216
1.0
5.2341 0.0000 0.0000
2.6170 4.5329 0.0000
2.6170 1.5110 4.2736
Pb Re Ba
1 1 1
Cartesian
0.0000 0.0000 0.0000
5.2341 3.0219 2.1368
2.6170 1.5110 1.0684

CrCdRh | the Alexandria database | GGA-PBEsol | relaxed; excess energy over the best structure of this formula in the dataset = 0.0 meV/atom; E = -5.94 eV per atom; total moment = 3.25 μB per cell; formation enthalpy at 0 K = 0.582 eV/atom; symmetry = No. 216
1.0
4.2668 0.0000 0.0000
2.1334 3.6951 0.0000
2.1334 1.2317 3.4838
Cd Cr Rh
1 1 1
Cartesian
0.0000 0.0000 0.0000
4.2668 2.4634 1.7419
6.4002 3.6951 2.6129

GeTe2MoRu | the Alexandria database | GGA-PBEsol | relaxed; E = -5.50 eV per atom; total moment = 1.71 μB per cell; ΔE_f (raw) = 1.2852 eV/atom; symmetry = No. 123
1.0
-4.4611 -1.3693 -0.7290
0.1879 -2.8767 4.2536
-1.6772 3.9886 2.7716
Ru Mo Te Ge
1 1 2 1
Cartesian
-2.9752 -0.1287 3.1481
0.0000 0.0000 0.0000
-0.8386 1.9943 1.3858
0.0940 -1.4383 2.1268
-2.2305 -0.6847 -0.3645

CuIrOs | the Alexandria database | GGA-PBEsol | relaxed; excess energy over the best structure of this formula in the dataset = 543.0 meV/atom; E = -8.07 eV per atom; total moment = 0.00 μB per cell; formation enthalpy at 0 K = 0.723 eV/atom; symmetry = No. 216
1.0
4.0647 0.0000 0.0000
2.0323 3.5201 0.0000
2.0323 1.1734 3.3188
Cu Ir Os
1 1 1
Cartesian
0.0000 0.0000 0.0000
4.0647 2.3468 1.6594
2.0323 1.1734 0.8297